{
  "formula": "K2ZrSi2O7",
  "functional": "meta-GGA SCAN",
  "state": "PBEsol geometry",
  "lattice_angstrom": [[9.640, -5.557, 0.000], [9.640, 5.557, 0.000], [-6.333, 0.000, 12.598]],
  "species": ["K", "K", "K", "K", "K", "K", "K", "K", "K", "K", "K", "K", "K", "K", "K", "K", "Zr", "Zr", "Zr", "Zr", "Zr", "Zr", "Zr", "Zr", "Si", "Si", "Si", "Si", "Si", "Si", "Si", "Si", "Si", "Si", "Si", "Si", "Si", "Si", "Si", "Si", "O", "O", "O", "O", "O", "O", "O", "O", "O", "O", "O", "O", "O", "O", "O", "O", "O", "O", "O", "O", "O", "O", "O", "O", "O", "O", "O", "O", "O", "O", "O", "O", "O", "O", "O", "O", "O", "O", "O", "O", "O", "O", "O", "O", "O", "O", "O", "O", "O", "O", "O", "O", "O", "O", "O", "O"],
  "frac_coords": [[0.107, 0.613, 0.573], [0.109, 0.109, 0.078], [0.112, 0.606, 0.073], [0.121, 0.121, 0.614], [0.379, 0.379, 0.886], [0.387, 0.893, 0.427], [0.391, 0.391, 0.422], [0.394, 0.888, 0.927], [0.606, 0.112, 0.073], [0.609, 0.609, 0.578], [0.613, 0.107, 0.573], [0.621, 0.621, 0.114], [0.879, 0.879, 0.386], [0.888, 0.394, 0.927], [0.891, 0.891, 0.922], [0.893, 0.387, 0.427], [0.004, 0.496, 0.250], [0.014, 0.014, 0.784], [0.486, 0.486, 0.716], [0.496, 0.004, 0.250], [0.504, 0.996, 0.750], [0.514, 0.514, 0.284], [0.986, 0.986, 0.216], [0.996, 0.504, 0.750], [0.198, 0.198, 0.367], [0.198, 0.721, 0.379], [0.217, 0.217, 0.890], [0.221, 0.698, 0.879], [0.279, 0.802, 0.621], [0.284, 0.284, 0.610], [0.302, 0.302, 0.133], [0.302, 0.779, 0.121], [0.698, 0.221, 0.879], [0.698, 0.698, 0.867], [0.716, 0.716, 0.390], [0.721, 0.198, 0.379], [0.779, 0.302, 0.121], [0.783, 0.783, 0.110], [0.802, 0.279, 0.621], [0.802, 0.802, 0.633], [0.104, 0.104, 0.296], [0.104, 0.833, 0.304], [0.107, 0.349, 0.835], [0.110, 0.628, 0.852], [0.118, 0.359, 0.352], [0.127, 0.610, 0.352], [0.132, 0.860, 0.117], [0.134, 0.134, 0.896], [0.140, 0.381, 0.148], [0.140, 0.868, 0.883], [0.151, 0.393, 0.665], [0.167, 0.896, 0.696], [0.176, 0.824, 0.500], [0.208, 0.208, 0.490], [0.292, 0.292, 0.010], [0.324, 0.676, 0.000], [0.334, 0.604, 0.804], [0.349, 0.107, 0.835], [0.359, 0.118, 0.352], [0.360, 0.632, 0.617], [0.366, 0.366, 0.604], [0.368, 0.640, 0.383], [0.372, 0.890, 0.148], [0.381, 0.140, 0.148], [0.390, 0.873, 0.648], [0.393, 0.151, 0.665], [0.396, 0.396, 0.204], [0.396, 0.666, 0.196], [0.604, 0.334, 0.804], [0.604, 0.604, 0.796], [0.607, 0.849, 0.335], [0.610, 0.127, 0.352], [0.619, 0.860, 0.852], [0.628, 0.110, 0.852], [0.632, 0.360, 0.617], [0.634, 0.634, 0.396], [0.640, 0.368, 0.383], [0.641, 0.882, 0.648], [0.651, 0.893, 0.165], [0.666, 0.396, 0.196], [0.676, 0.324, 0.000], [0.708, 0.708, 0.990], [0.792, 0.792, 0.510], [0.824, 0.176, 0.500], [0.833, 0.104, 0.304], [0.849, 0.607, 0.335], [0.860, 0.132, 0.117], [0.860, 0.619, 0.852], [0.866, 0.866, 0.104], [0.868, 0.140, 0.883], [0.873, 0.390, 0.648], [0.882, 0.641, 0.648], [0.890, 0.372, 0.148], [0.893, 0.651, 0.165], [0.896, 0.167, 0.696], [0.896, 0.896, 0.704]],
  "raw_formation_energy_ev_per_fu": -37.0,
  "de_polymorph_mev_per_atom": 3,
  "m_tot_mub_per_cell": 0.00,
  "volume_a3_per_fu": 169
}